w.
{
  "formula": "Tb6SmHo4",
  "functional": "PBE",
  "state": "optimized geometry",
  "lattice": [[-5.572, 4.741, 1.780], [-3.969, -5.733, 2.842], [7.543, 1.523, 3.631]],
  "species": ["Tb", "Sm", "Tb", "Ho", "Tb", "Ho", "Tb", "Ho", "Ho", "Tb", "Tb"],
  "frac_coords": [[0.500, 0.000, 0.000], [0.500, 0.500, 0.000], [0.078, 0.078, 0.627], [0.085, 0.757, 0.842], [0.922, 0.451, 0.373], [0.915, 0.915, 0.158], [0.549, 0.549, 0.627], [0.243, 0.243, 0.158], [0.757, 0.085, 0.842], [0.451, 0.922, 0.373], [0.000, 0.500, 0.000]],
  "crystal_system": "tetragonal",
  "magmom_total_mub_per_fu": 0.0,
  "spacegroup": "No. 121",
  "n_ef_per_ev_atom": 1.309,
  "volume_a3_per_cell": 376
}

x.
{
  "formula": "Tb6SmHo4",
  "functional": "PBE",
  "state": "optimized geometry",
  "lattice": [[-5.234, 0.778, 2.199], [2.051, -5.142, -0.765], [9.973, 0.470, 23.575]],
  "species": ["Tb", "Tb", "Ho", "Tb", "Ho", "Tb", "Ho", "Sm", "Ho", "Tb", "Ho", "Tb", "Tb", "Sm", "Tb", "Tb", "Ho", "Tb", "Tb", "Ho", "Tb", "Ho"],
  "frac_coords": [[0.133, 0.265, 0.181], [0.500, 0.000, 0.500], [0.847, 0.694, 0.543], [0.867, 0.735, 0.819], [0.153, 0.306, 0.457], [0.867, 0.735, 0.681], [0.539, 0.077, 0.622], [0.802, 0.604, 0.250], [0.461, 0.923, 0.378], [0.533, 0.067, 0.750], [0.539, 0.077, 0.878], [0.802, 0.604, 0.102], [0.198, 0.396, 0.898], [0.198, 0.396, 0.750], [0.467, 0.933, 0.250], [0.198, 0.396, 0.602], [0.461, 0.923, 0.122], [0.802, 0.604, 0.398], [0.133, 0.265, 0.319], [0.153, 0.306, 0.043], [0.500, 0.000, 0.000], [0.847, 0.694, 0.957]],
  "crystal_system": "orthorhombic",
  "magmom_total_mub_per_fu": 0.0,
  "spacegroup": "No. 63",
  "n_ef_per_ev_atom": 1.851,
  "volume_a3_per_cell": 704
}

It comes down to x, which is 0.297 eV/atom more stable than the next structure.

w.
{
  "formula": "Tb2Sm5Ho12",
  "functional": "PBE",
  "state": "optimized geometry",
  "lattice": [[9.022, 0.000, 0.000], [-4.511, 8.240, 3.266], [0.000, 0.594, 8.623]],
  "species": ["Ho", "Sm", "Ho", "Ho", "Sm", "Sm", "Ho", "Ho", "Ho", "Sm", "Sm", "Tb", "Ho", "Ho", "Ho", "Ho", "Ho", "Tb", "Ho"],
  "frac_coords": [[0.148, 0.744, 0.455], [0.713, 0.426, 0.773], [0.669, 0.709, 0.904], [0.561, 0.122, 0.285], [0.287, 0.574, 0.227], [0.763, 0.526, 0.289], [0.331, 0.291, 0.096], [0.404, 0.256, 0.545], [0.596, 0.744, 0.455], [0.237, 0.474, 0.711], [0.000, 0.000, 0.500], [0.328, 0.000, 0.000], [0.439, 0.878, 0.715], [0.960, 0.291, 0.096], [0.852, 0.256, 0.545], [0.955, 0.910, 0.182], [0.045, 0.090, 0.818], [0.672, 0.000, 0.000], [0.040, 0.709, 0.904]],
  "crystal_system": "monoclinic",
  "magmom_total_mub_per_fu": 0.0,
  "spacegroup": "No. 12",
  "n_ef_per_ev_atom": 1.472,
  "volume_a3_per_cell": 624
}

x.
{
  "formula": "Tb2Sm5Ho12",
  "functional": "PBE",
  "state": "optimized geometry",
  "lattice": [[5.944, 1.591, -0.188], [-1.422, 8.528, -6.223], [-0.179, -1.850, 12.664]],
  "species": ["Sm", "Ho", "Sm", "Ho", "Ho", "Ho", "Sm", "Ho", "Tb", "Ho", "Ho", "Ho", "Ho", "Sm", "Ho", "Tb", "Ho", "Sm", "Ho"],
  "frac_coords": [[0.842, 0.315, 0.868], [0.211, 0.578, 0.341], [0.737, 0.526, 0.447], [0.789, 0.422, 0.659], [0.526, 0.948, 0.606], [0.684, 0.632, 0.237], [0.158, 0.685, 0.132], [0.053, 0.895, 0.712], [0.580, 0.843, 0.817], [0.369, 0.262, 0.974], [0.474, 0.052, 0.394], [0.631, 0.738, 0.026], [0.947, 0.105, 0.288], [0.263, 0.474, 0.553], [0.105, 0.790, 0.921], [0.420, 0.157, 0.183], [0.895, 0.210, 0.079], [0.000, 0.000, 0.500], [0.316, 0.368, 0.763]],
  "crystal_system": "triclinic",
  "magmom_total_mub_per_fu": 0.0,
  "spacegroup": "No. 2",
  "n_ef_per_ev_atom": 1.368,
  "volume_a3_per_cell": 603
}

It comes down to x, which is 0.204 eV/atom more stable than the next structure.